[1]
DFT (PBE) results for a relaxed structure of Be2GeCl.

Cell lengths 5.2473, 5.2473, 6.2549 Å; angles 65.20, 65.20, 90.00 degrees
Closest atoms and distances in Å follow each position.
Atoms (fractional coordinates):
Ge 0.7500 0.2500 0.5000  4 Be 2.25
Ge 0.0000 0.0000 0.0000  4 Be 2.25
Be 0.8750 0.8735 0.7500  2 Cl 2.24, 2 Ge 2.25
Be 0.1265 0.6250 0.2500  2 Cl 2.24, 2 Ge 2.25
Be 0.6235 0.1250 0.2500  2 Cl 2.24, 2 Ge 2.25
Be 0.3750 0.3765 0.7500  2 Cl 2.24, 2 Ge 2.25
Cl 0.2500 0.7500 0.5000  4 Be 2.24
Cl 0.5000 0.5000 0.0000  4 Be 2.24

Computed properties:
Raw formation energy = 0.15 eV/atom
Energy = -3.33 eV/atom
E above lowest polymorph = 0.0 kJ/mol of formula units
Symmetry = I-42d
Spin magnetization = 0.00 Bohr magnetons per cell


[2]
DFT (PBE) results for a relaxed structure of TaTlTe3.

Cell lengths 5.4917, 5.4917, 5.4917 Å; angles 90.00, 90.00, 90.00 degrees
Closest atoms and distances in Å follow each position.
Atoms (fractional coordinates):
Ta 0.0000 0.0000 0.0000  6 Te 2.75
Tl 0.5000 0.5000 0.5000  12 Te 3.88
Te 0.5000 0.0000 0.0000  2 Ta 2.75
Te 0.0000 0.5000 0.0000  2 Ta 2.75
Te 0.0000 0.0000 0.5000  2 Ta 2.75

Computed properties:
Raw formation energy = -0.03 eV/atom
Energy = -4.76 eV/atom
E above lowest polymorph = 48.0 kJ/mol of formula units
Symmetry = Pm-3m
Spin magnetization = 0.00 Bohr magnetons per cell


[3]
DFT (PBE) results for a relaxed structure of DyY4MgSe8.

Cell lengths 8.3513, 8.3513, 8.3520 Å; angles 60.00, 60.00, 60.00 degrees
Closest atoms and distances in Å follow each position.
Atoms (fractional coordinates):
Y 0.0033 0.0033 0.5032  6 Se 2.87-2.90
Y 0.4902 0.0033 0.5032  6 Se 2.87-2.90
Y 0.6249 0.6249 0.1252  4 Se 2.73
Y 0.0033 0.4902 0.5032  6 Se 2.87-2.90
Se 0.7588 0.2245 0.2579  3 Y 2.73-2.90, 1 Dy 2.90
Se 0.2461 0.7607 0.7470  1 Mg 2.63, 1 Dy 2.87, 2 Y 2.87
Se 0.2465 0.2465 0.2606  1 Mg 2.63, 3 Y 2.87
Se 0.2461 0.2461 0.7470  1 Mg 2.63, 1 Dy 2.87, 2 Y 2.87
Se 0.7588 0.7588 0.2579  3 Y 2.73-2.90, 1 Dy 2.90
Se 0.7607 0.2461 0.7470  1 Mg 2.63, 1 Dy 2.87, 2 Y 2.87
Se 0.7584 0.7584 0.7249  4 Y 2.73-2.90
Se 0.2245 0.7588 0.2579  3 Y 2.73-2.90, 1 Dy 2.90
Mg 0.3750 0.3750 0.8751  4 Se 2.63
Dy 0.0034 0.0034 0.9898  6 Se 2.87-2.90

Computed properties:
Raw formation energy = -1.73 eV/atom
Energy = -6.01 eV/atom
Symmetry = R3m
Spin magnetization = 0.00 Bohr magnetons per cell


[4]
DFT (PBE) results for a relaxed structure of Cr2NiIr.

Cell lengths 4.5005, 4.5005, 2.6039 Å; angles 89.99, 89.99, 111.09 degrees
Closest atoms and distances in Å follow each position.
Atoms (fractional coordinates):
Cr 0.5000 0.5000 0.0000  4 Cr 2.55-2.60, 4 Ir 2.60, 4 Ni 2.60
Cr 0.0000 0.0000 0.0000  4 Cr 2.55-2.60, 4 Ni 2.60, 4 Ir 2.60
Ir 0.5000 0.0000 0.5000  2 Ni 2.55, 8 Cr 2.60, 2 Ir 2.60
Ni 0.0000 0.5000 0.5000  2 Ir 2.55, 8 Cr 2.60, 2 Ni 2.60

Computed properties:
Energy = -8.52 eV/atom
Energy of formation from the pure elements = -0.050 eV/atom
Symmetry = Cmmm
Spin magnetization = 0.00 Bohr magnetons per cell


[5]
DFT (PBE) results for a relaxed structure of Dy4GaCo3.

Cell lengths 3.9803, 4.1015, 10.2789 Å; angles 90.00, 90.00, 90.00 degrees
Closest atoms and distances in Å follow each position.
Atoms (fractional coordinates):
Dy 0.0000 0.5000 0.8489  2 Ga 2.97, 5 Co 2.98-3.03
Dy 0.5000 0.0000 0.6439  7 Co 2.80-3.00
Dy 0.5000 0.5000 0.3658  6 Co 2.78-2.99, 1 Ga 3.11
Dy 0.0000 0.0000 0.1404  3 Co 2.93-3.20, 4 Ga 2.96
Co 0.0000 0.0000 0.4520  2 Co 2.31
Co 0.0000 0.5000 0.5545  2 Co 2.31
Co 0.5000 0.0000 0.9308  2 Ga 2.46
Ga 0.5000 0.5000 0.0636  2 Co 2.46

Computed properties:
Energy = -5.63 eV/atom
Energy of formation from the pure elements = -0.291 eV/atom
Symmetry = Pmm2
Spin magnetization = 1.04 Bohr magnetons per cell


[6]
DFT (PBE) results for a relaxed structure of Ho5ZnFe2.

Cell lengths 7.4017, 7.4017, 8.5962 Å; angles 115.50, 115.50, 90.00 degrees
Closest atoms and distances in Å follow each position.
Atoms (fractional coordinates):
Zn 0.2500 0.2500 0.5000  10 Ho 3.13-3.41
Zn 0.7500 0.7500 0.5000  10 Ho 3.13-3.41
Ho 0.0000 0.0000 0.0000  4 Fe 3.01, 8 Ho 3.33
Ho 0.9664 0.4664 0.2780  3 Fe 2.85-2.98, 2 Zn 3.13
Ho 0.8116 0.9664 0.2780  3 Fe 2.85-2.98, 2 Zn 3.13
Ho 0.0336 0.5336 0.7220  3 Fe 2.85-2.98, 2 Zn 3.13
Ho 0.1884 0.0336 0.7220  3 Fe 2.85-2.98, 2 Zn 3.13
Ho 0.4664 0.3116 0.2780  3 Fe 2.85-2.98, 2 Zn 3.13
Ho 0.5000 0.5000 0.0000  4 Fe 3.01, 8 Ho 3.33
Ho 0.3116 0.8116 0.2780  3 Fe 2.85-2.98, 2 Zn 3.13
Ho 0.5336 0.6884 0.7220  3 Fe 2.85-2.98, 2 Zn 3.13
Ho 0.6884 0.1884 0.7220  3 Fe 2.85-2.98, 2 Zn 3.13
Fe 0.8922 0.6078 0.0000  1 Fe 2.26
Fe 0.6078 0.1078 0.0000  1 Fe 2.26
Fe 0.3922 0.8922 0.0000  1 Fe 2.26
Fe 0.1078 0.3922 0.0000  1 Fe 2.26

Computed properties:
Energy = -5.23 eV/atom
Energy of formation from the pure elements = -0.089 eV/atom
Symmetry = I4/mcm
Spin magnetization = 2.29 Bohr magnetons per cell


[7]
DFT (PBE) results for a relaxed structure of ZnCrOs2Au.

Cell lengths 4.8646, 4.5156, 4.8646 Å; angles 90.00, 90.00, 90.00 degrees
Closest atoms and distances in Å follow each position.
Atoms (fractional coordinates):
Os 0.5000 0.0000 0.0000  2 Au 2.43
Os 0.0000 0.0000 0.5000  2 Au 2.43
Cr 0.5000 0.5000 0.5000  8 Os 3.32, 4 Zn 3.44
Au 0.0000 0.0000 0.0000  2 Zn 2.26, 4 Os 2.43
Zn 0.0000 0.5000 0.0000  2 Au 2.26

Computed properties:
Energy = -4.72 eV/atom
Energy of formation from the pure elements = 2.604 eV/atom
Symmetry = P4/mmm
Spin magnetization = 0.45 Bohr magnetons per cell


[8]
DFT (PBE) results for a relaxed structure of Ho2VS.

Cell lengths 3.5303, 3.5303, 9.3375 Å; angles 79.10, 79.10, 60.00 degrees
Closest atoms and distances in Å follow each position.
Atoms (fractional coordinates):
Ho 0.8964 0.8964 0.3109  3 S 2.67, 1 V 2.83
Ho 0.1036 0.1036 0.6891  3 S 2.67, 1 V 2.83
V 0.0000 0.0000 0.0000  2 Ho 2.83
S 0.5000 0.5000 0.5000  6 Ho 2.67

Computed properties:
Raw formation energy = -0.23 eV/atom
Energy = -5.83 eV/atom
Symmetry = R-3m
Spin magnetization = 2.88 Bohr magnetons per cell


[9]
DFT (PBE) results for a relaxed structure of GeSe2NO.

Cell lengths 4.3599, 4.3599, 4.1065 Å; angles 90.00, 90.00, 90.00 degrees
Closest atoms and distances in Å follow each position.
Atoms (fractional coordinates):
Se 0.0000 0.5000 0.0000  2 O 2.18
Se 0.5000 0.0000 0.0000  2 O 2.18
O 0.0000 0.0000 0.0000  2 N 2.05, 4 Se 2.18
N 0.0000 0.0000 0.5000  2 O 2.05
Ge 0.5000 0.5000 0.5000  8 Se 2.99, 4 N 3.08

Computed properties:
Raw formation energy = 1.19 eV/atom
Energy = -3.79 eV/atom
E above lowest polymorph = 0.0 kJ/mol of formula units
Symmetry = P4/mmm
Spin magnetization = 0.26 Bohr magnetons per cell


[10]
DFT (PBE) results for a relaxed structure of TbLuSnRh.

Cell lengths 5.0600, 5.0600, 5.0600 Å; angles 60.00, 60.00, 60.00 degrees
Closest atoms and distances in Å follow each position.
Atoms (fractional coordinates):
Tb 0.0000 0.0000 0.0000  4 Sn 3.10, 4 Rh 3.10
Sn 0.2500 0.2500 0.2500  4 Lu 3.10, 4 Tb 3.10
Rh 0.7500 0.7500 0.7500  4 Lu 3.10, 4 Tb 3.10
Lu 0.5000 0.5000 0.5000  4 Sn 3.10, 4 Rh 3.10

Computed properties:
Energy = -5.79 eV/atom
Energy of formation from the pure elements = -0.662 eV/atom
Symmetry = F-43m
Spin magnetization = 0.00 Bohr magnetons per cell


[11]
DFT (PBE) results for a relaxed structure of CeNdDyPu.

Cell lengths 5.5896, 5.5896, 5.5896 Å; angles 60.00, 60.00, 60.00 degrees
Closest atoms and distances in Å follow each position.
Atoms (fractional coordinates):
Dy 0.5000 0.5000 0.5000  4 Ce 3.42, 4 Nd 3.42
Pu 0.0000 0.0000 0.0000  4 Ce 3.42, 4 Nd 3.42
Ce 0.7500 0.7500 0.7500  4 Pu 3.42, 4 Dy 3.42
Nd 0.2500 0.2500 0.2500  4 Dy 3.42, 4 Pu 3.42

Computed properties:
Energy = -7.20 eV/atom
Energy of formation from the pure elements = 0.205 eV/atom
Symmetry = F-43m
Spin magnetization = 8.57 Bohr magnetons per cell


[12]
DFT (PBE) results for a relaxed structure of Er6SnSb3.

Cell lengths 7.5006, 9.1930, 9.1930 Å; angles 107.12, 90.00, 90.00 degrees
Closest atoms and distances in Å follow each position.
Atoms (fractional coordinates):
Er 0.2538 0.0779 0.5274  3 Sb 3.04-3.12, 1 Sn 3.23
Er 0.6263 0.2478 0.7522  1 Sn 3.07, 3 Sb 3.16-3.36
Er 0.6436 0.2699 0.3783  4 Sb 2.99-3.11
Er 0.2577 0.9938 0.0062  4 Sb 3.06-3.19, 2 Sn 3.08-3.23
Er 0.1436 0.3783 0.2699  4 Sb 2.99-3.11
Er 0.1436 0.7301 0.6217  4 Sb 2.99-3.11
Er 0.2538 0.4726 0.9221  3 Sb 3.04-3.12, 1 Sn 3.23
Er 0.6436 0.6217 0.7301  4 Sb 2.99-3.11
Er 0.7538 0.5274 0.0779  3 Sb 3.04-3.12, 1 Sn 3.23
Er 0.7538 0.9221 0.4726  3 Sb 3.04-3.12, 1 Sn 3.23
Er 0.7577 0.0062 0.9938  4 Sb 3.06-3.19, 2 Sn 3.08-3.23
Er 0.1263 0.7522 0.2478  1 Sn 3.07, 3 Sb 3.16-3.36
Sn 0.0074 0.1715 0.8285  5 Er 3.07-3.23
Sn 0.5074 0.8285 0.1715  5 Er 3.07-3.23
Sb 0.4830 0.9155 0.7164  7 Er 2.99-3.19
Sb 0.9830 0.0845 0.2836  7 Er 2.99-3.19
Sb 0.8332 0.5806 0.4194  7 Er 3.04-3.36
Sb 0.3332 0.4194 0.5806  7 Er 3.04-3.36
Sb 0.4830 0.2836 0.0845  7 Er 2.99-3.19
Sb 0.9830 0.7164 0.9155  7 Er 2.99-3.19

Computed properties:
Raw formation energy = -0.67 eV/atom
Energy = -5.04 eV/atom
Symmetry = Cmc2_1
Spin magnetization = 1.78 Bohr magnetons per cell